[1]
Density functional theory data (PBE) for a relaxed Nd4ZnCo2 crystal.

Unit cell a=9.422 b=9.422 c=9.422 alpha=29.25 beta=29.25 gamma=29.25
Fractional positions:
1 Nd 0.116 0.116 0.116
2 Nd 0.295 0.295 0.295
3 Nd 0.705 0.705 0.705
4 Nd 0.884 0.884 0.884
5 Zn 0.500 0.500 0.500
6 Co 0.409 0.409 0.409
7 Co 0.591 0.591 0.591

## Properties
E: -34.84 eV per cell
Symmetry: R-3m, No. 166
Magnetic moment: 0.00 μB/cell

[2]
Density functional theory data (PBE) for a relaxed PaTlRe crystal.

Unit cell a=7.772 b=7.772 c=7.772 alpha=146.44 beta=146.44 gamma=48.19
Fractional positions:
1 Pa 0.126 0.126 0.000
2 Pa 0.874 0.874 0.000
3 Tl 0.363 0.363 0.000
4 Tl 0.637 0.637 0.000
5 Re 0.000 0.500 0.500
6 Re 0.500 0.000 0.500

## Properties
E: -47.52 eV per cell
Symmetry: I4/mmm, No. 139
Magnetic moment: 0.00 μB/cell